The following is a PBE-GGA calculation of a relaxed structure of MnCr2Tc, from Alexandria via LeMat-Bulk.

Values from the calculation:
D(E_F) = 5.014 states/eV/f.u.
E = -9.000 eV/atom
ΔE to the lowest computed polymorph = 642 meV/atom
Calculated formation energy = 695.3 meV/atom
Magnetization = 0.00 Bohr magnetons per cell

Unit cell a=5.2228 b=5.2228 c=5.2228 alpha=102.66 beta=102.66 gamma=124.16
Last column: nearest neighbours and their distance in Å.
Fractional positions:
1 Mn 0.0000 0.0000 0.0000  4 Cr 2.30, 2 Tc 2.45
2 Mn 0.7500 0.2500 0.5000  4 Cr 2.30, 2 Tc 2.45
3 Cr 0.1046 0.6250 0.9796  2 Mn 2.30, 2 Cr 2.46, 2 Tc 2.48
4 Cr 0.3750 0.3546 0.4796  2 Mn 2.30, 2 Cr 2.46, 2 Tc 2.48
5 Cr 0.6454 0.1250 0.0204  2 Mn 2.30, 2 Cr 2.46, 2 Tc 2.48
6 Cr 0.8750 0.8954 0.5204  2 Mn 2.30, 2 Cr 2.46, 2 Tc 2.48
7 Tc 0.2500 0.7500 0.5000  2 Mn 2.45, 4 Cr 2.48
8 Tc 0.5000 0.5000 0.0000  2 Mn 2.45, 4 Cr 2.48



The following is a PBE-GGA calculation of a relaxed structure of Ba2Be2B, from Alexandria via LeMat-Bulk.

Values from the calculation:
D(E_F) = 2.615 states/eV/f.u.
E = -2.654 eV/atom
ΔE to the lowest computed polymorph = 248 meV/atom
Calculated formation energy = 941.2 meV/atom
Magnetization = 0.00 Bohr magnetons per cell

Unit cell a=6.0528 b=6.0528 c=5.6324 alpha=90.00 beta=90.00 gamma=90.00
Last column: nearest neighbours and their distance in Å.
Fractional positions:
1 Ba 0.1799 0.3201 0.0000  2 Be 3.01, 5 Ba 3.08-3.14
2 Ba 0.3201 0.8201 0.0000  2 Be 3.01, 5 Ba 3.08-3.14
3 Ba 0.6799 0.1799 0.0000  2 Be 3.01, 5 Ba 3.08-3.14
4 Ba 0.8201 0.6799 0.0000  2 Be 3.01, 5 Ba 3.08-3.14
5 Be 0.1972 0.6972 0.5000  2 B 2.19
6 Be 0.3028 0.1972 0.5000  2 B 2.19
7 Be 0.6972 0.8028 0.5000  2 B 2.19
8 Be 0.8028 0.3028 0.5000  2 B 2.19
9 B 0.0000 0.0000 0.5000  4 Be 2.19
10 B 0.5000 0.5000 0.5000  4 Be 2.19



The following is a PBE-GGA calculation of a relaxed structure of K4La3ThTe8, from Alexandria via LeMat-Bulk.

Values from the calculation:
D(E_F) = 6.111 states/eV/f.u.
E = -4.645 eV/atom
Formation energy without anion corrections = -1.41 eV per atom
Magnetization = 0.00 Bohr magnetons per cell

Unit cell a=9.8568 b=9.8568 c=9.8568 alpha=56.36 beta=56.36 gamma=56.36
Last column: nearest neighbours and their distance in Å.
Fractional positions:
1 K 0.0000 0.0000 0.0000  6 Te 3.61
2 K 0.0000 0.5000 0.5000  6 Te 3.54-3.55
3 K 0.5000 0.0000 0.5000  6 Te 3.54-3.55
4 K 0.5000 0.5000 0.0000  6 Te 3.54-3.55
5 La 0.0000 0.0000 0.5000  6 Te 3.24-3.26
6 La 0.0000 0.5000 0.0000  6 Te 3.24-3.26
7 La 0.5000 0.0000 0.0000  6 Te 3.24-3.26
8 Th 0.5000 0.5000 0.5000  6 Te 3.18
9 Te 0.2398 0.2398 0.2398  3 La 3.24, 3 K 3.55
10 Te 0.2470 0.7351 0.7351  1 Th 3.18, 2 La 3.26, 2 K 3.54
11 Te 0.2649 0.2649 0.7530  1 Th 3.18, 2 La 3.26, 2 K 3.54
12 Te 0.2649 0.7530 0.2649  1 Th 3.18, 2 La 3.26, 2 K 3.54
13 Te 0.7351 0.2470 0.7351  1 Th 3.18, 2 La 3.26, 2 K 3.54
14 Te 0.7351 0.7351 0.2470  1 Th 3.18, 2 La 3.26, 2 K 3.54
15 Te 0.7530 0.2649 0.2649  1 Th 3.18, 2 La 3.26, 2 K 3.54
16 Te 0.7602 0.7602 0.7602  3 La 3.24, 3 K 3.55



The following is a PBE-GGA calculation of a relaxed structure of AcLa2Pt4, from Alexandria via LeMat-Bulk.

Values from the calculation:
D(E_F) = 4.460 states/eV/f.u.
E = -6.591 eV/atom
Calculated formation energy = -1144.0 meV/atom
Magnetization = 0.00 Bohr magnetons per cell

Unit cell a=10.3296 b=10.3296 c=10.3296 alpha=157.16 beta=155.60 gamma=33.66
Last column: nearest neighbours and their distance in Å.
Fractional positions:
1 Ac 0.0000 0.0000 0.0000  8 Pt 3.28
2 La 0.3149 0.8149 0.5000  7 Pt 3.03-3.09
3 La 0.6851 0.1851 0.5000  7 Pt 3.03-3.09
4 Pt 0.1599 0.6599 0.5000  2 Pt 2.84, 5 La 3.03-3.07
5 Pt 0.4321 0.4321 0.0000  3 Pt 2.68-2.84
6 Pt 0.5679 0.5679 0.0000  3 Pt 2.68-2.84
7 Pt 0.8401 0.3401 0.5000  2 Pt 2.84, 5 La 3.03-3.07



The following is a PBE-GGA calculation of a relaxed structure of NaZnTe2I, from Alexandria via LeMat-Bulk.

Values from the calculation:
D(E_F) = 8.875 states/eV/f.u.
E = -1.614 eV/atom
Formation energy without anion corrections = 0.47 eV per atom
ΔE to the lowest computed polymorph = 634 meV/atom
Magnetization = 0.00 Bohr magnetons per cell

Unit cell a=5.6617 b=5.6617 c=5.7821 alpha=90.00 beta=90.00 gamma=90.00
Last column: nearest neighbours and their distance in Å.
Fractional positions:
1 Na 0.0000 0.0000 0.0000  4 Te 2.83, 2 I 2.89
2 Zn 0.5000 0.5000 0.5000  4 I 4.00, 8 Te 4.05
3 Te 0.0000 0.5000 0.0000  2 Na 2.83
4 Te 0.5000 0.0000 0.0000  2 Na 2.83
5 I 0.0000 0.0000 0.5000  2 Na 2.89



The following is a PBE-GGA calculation of a relaxed structure of AcCd2GaPd, from Alexandria via LeMat-Bulk.

Values from the calculation:
D(E_F) = 2.657 states/eV/f.u.
E = -3.290 eV/atom
Calculated formation energy = -458.3 meV/atom
Magnetization = 0.00 Bohr magnetons per cell

Unit cell a=7.1560 b=7.1560 c=7.1560 alpha=145.13 beta=144.22 gamma=50.82
Last column: nearest neighbours and their distance in Å.
Fractional positions:
1 Ac 0.0000 0.0000 0.0000  4 Pd 3.28, 4 Cd 3.48, 2 Ga 3.49
2 Cd 0.3729 0.3729 0.0000  1 Pd 2.79, 2 Cd 2.86, 2 Ga 2.98
3 Cd 0.7311 0.2311 0.5000  2 Pd 2.83, 2 Cd 2.86, 4 Ga 3.08
4 Ga 0.2125 0.7125 0.5000  2 Pd 2.72, 2 Cd 2.98
5 Pd 0.5885 0.5885 0.0000  2 Ga 2.72, 3 Cd 2.79-2.83



The following is a PBE-GGA calculation of a relaxed structure of Zr6Fe2Bi, from Alexandria via LeMat-Bulk.

Values from the calculation:
D(E_F) = 10.848 states/eV/f.u.
E = -8.123 eV/atom
Calculated formation energy = -112.7 meV/atom
Magnetization = 0.00 Bohr magnetons per cell

Unit cell a=7.8867 b=7.8867 c=7.8867 alpha=113.90 beta=107.85 gamma=106.77
Last column: nearest neighbours and their distance in Å.
Fractional positions:
1 Zr 0.0150 0.7767 0.2383  1 Fe 2.55
2 Zr 0.1980 0.4844 0.2864  3 Fe 2.82-2.88, 1 Bi 3.09, 2 Zr 3.14
3 Zr 0.1980 0.9115 0.7136  3 Fe 2.82-2.88, 1 Bi 3.09, 2 Zr 3.14
4 Zr 0.3143 0.3055 0.6197  3 Fe 2.50-2.75
5 Zr 0.3143 0.6945 0.0088  3 Fe 2.50-2.75
6 Zr 0.4616 0.2233 0.2383  1 Fe 2.55
7 Zr 0.5384 0.7767 0.7617  1 Fe 2.55
8 Zr 0.6857 0.3055 0.9912  3 Fe 2.50-2.75
9 Zr 0.6857 0.6945 0.3803  3 Fe 2.50-2.75
10 Zr 0.8020 0.0885 0.2864  3 Fe 2.82-2.88, 1 Bi 3.09, 2 Zr 3.14
11 Zr 0.8020 0.5156 0.7136  3 Fe 2.82-2.88, 1 Bi 3.09, 2 Zr 3.14
12 Zr 0.9850 0.2233 0.7617  1 Fe 2.55
13 Fe 0.1138 0.5000 0.6138  1 Fe 2.11
14 Fe 0.3572 0.3572 0.0000  6 Zr 2.55-2.75, 1 Fe 2.69
15 Fe 0.6428 0.6428 0.0000  6 Zr 2.55-2.75, 1 Fe 2.69
16 Fe 0.8862 0.5000 0.3862  1 Fe 2.11
17 Bi 0.0000 0.0000 0.0000  8 Zr 3.05-3.09, 2 Fe 3.36
18 Bi 0.5000 0.0000 0.5000  12 Zr 3.14-3.38



The following is a PBE-GGA calculation of a relaxed structure of K2RbGaSb2, from Alexandria via LeMat-Bulk.

Values from the calculation:
E = -2.808 eV/atom
Formation energy without anion corrections = -0.40 eV per atom
Magnetization = 0.00 Bohr magnetons per cell

Unit cell a=9.2685 b=9.2685 c=9.2685 alpha=120.85 beta=79.20 gamma=132.42
Last column: nearest neighbours and their distance in Å.
Fractional positions:
1 K 0.1780 0.1728 0.3509  3 Sb 3.45-3.83, 2 Ga 3.53
2 K 0.3220 0.6728 0.9948  3 Sb 3.45-3.83, 2 Ga 3.53
3 K 0.6780 0.3272 0.0052  3 Sb 3.45-3.83, 2 Ga 3.53
4 K 0.8220 0.8272 0.6491  3 Sb 3.45-3.83, 2 Ga 3.53
5 Rb 0.2500 0.7500 0.5000  4 Sb 3.72, 2 Rb 3.74
6 Rb 0.7500 0.2500 0.5000  4 Sb 3.72, 2 Rb 3.74
7 Ga 0.2500 0.2500 0.0000  4 Sb 2.79
8 Ga 0.7500 0.7500 0.0000  4 Sb 2.79
9 Sb 0.0898 0.8219 0.9117  2 Ga 2.79
10 Sb 0.4102 0.3219 0.7322  2 Ga 2.79
11 Sb 0.5898 0.6781 0.2678  2 Ga 2.79
12 Sb 0.9102 0.1781 0.0883  2 Ga 2.79



The following is a PBE-GGA calculation of a relaxed structure of TlReSe2, from Alexandria via LeMat-Bulk.

Values from the calculation:
D(E_F) = 2.970 states/eV/f.u.
E = -4.543 eV/atom
Formation energy without anion corrections = 0.90 eV per atom
ΔE to the lowest computed polymorph = 900 meV/atom
Magnetization = 0.00 Bohr magnetons per cell

Unit cell a=4.9236 b=4.9236 c=3.3627 alpha=90.00 beta=90.00 gamma=105.90
Last column: nearest neighbours and their distance in Å.
Fractional positions:
1 Tl 0.0000 0.0000 0.0000  2 Re 2.97, 8 Se 2.98
2 Re 0.5000 0.5000 0.0000  2 Tl 2.97, 8 Se 2.98
3 Se 0.0000 0.5000 0.5000  2 Se 2.97, 4 Tl 2.98, 4 Re 2.98
4 Se 0.5000 0.0000 0.5000  2 Se 2.97, 4 Tl 2.98, 4 Re 2.98



The following is a PBE-GGA calculation of a relaxed structure of LuTiGa, from Alexandria via LeMat-Bulk.

Values from the calculation:
D(E_F) = 3.486 states/eV/f.u.
E = -5.326 eV/atom
Calculated formation energy = -178.9 meV/atom
Magnetization = 0.00 Bohr magnetons per cell

Unit cell a=4.6099 b=4.6099 c=3.3851 alpha=90.00 beta=90.00 gamma=120.00
Last column: nearest neighbours and their distance in Å.
Fractional positions:
1 Lu 0.0000 0.0000 0.0000  6 Ti 3.15, 6 Ga 3.15, 2 Lu 3.39
2 Ti 0.6667 0.3333 0.5000  3 Ga 2.66
3 Ga 0.3333 0.6667 0.5000  3 Ti 2.66



The following is a PBE-GGA calculation of a relaxed structure of Mg4TlHg2, from Alexandria via LeMat-Bulk.

Values from the calculation:
D(E_F) = 2.387 states/eV/f.u.
E = -1.410 eV/atom
ΔE to the lowest computed polymorph = 45 meV/atom
Calculated formation energy = -74.3 meV/atom
Magnetization = 0.00 Bohr magnetons per cell

Unit cell a=5.8600 b=5.8600 c=15.5501 alpha=90.00 beta=90.00 gamma=141.12
Last column: nearest neighbours and their distance in Å.
Fractional positions:
1 Mg 0.0000 0.0000 0.0000  4 Hg 2.91, 4 Mg 3.21
2 Mg 0.0000 0.0000 0.5000  4 Hg 2.91, 4 Mg 3.21
3 Mg 0.2967 0.7033 0.7500  2 Hg 2.85, 2 Tl 3.03
4 Mg 0.3554 0.6446 0.1277  3 Hg 2.98-3.06, 2 Tl 3.12, 4 Mg 3.20-3.21
5 Mg 0.3554 0.6446 0.3723  3 Hg 2.98-3.06, 2 Tl 3.12, 4 Mg 3.20-3.21
6 Mg 0.6446 0.3554 0.6277  3 Hg 2.98-3.06, 2 Tl 3.12, 4 Mg 3.20-3.21
7 Mg 0.6446 0.3554 0.8723  3 Hg 2.98-3.06, 2 Tl 3.12, 4 Mg 3.20-3.21
8 Mg 0.7033 0.2967 0.2500  2 Hg 2.85, 2 Tl 3.03
9 Tl 0.0062 0.9938 0.7500  7 Mg 3.03-3.21
10 Tl 0.9938 0.0062 0.2500  7 Mg 3.03-3.21
11 Hg 0.3303 0.6697 0.5684  6 Mg 2.85-3.06
12 Hg 0.3303 0.6697 0.9316  6 Mg 2.85-3.06
13 Hg 0.6697 0.3303 0.0684  6 Mg 2.85-3.06
14 Hg 0.6697 0.3303 0.4316  6 Mg 2.85-3.06



The following is a PBE-GGA calculation of a relaxed structure of NiBW, from Alexandria via LeMat-Bulk.

Values from the calculation:
D(E_F) = 1.447 states/eV/f.u.
E = -8.762 eV/atom
Calculated formation energy = -291.1 meV/atom
Magnetization = 0.00 Bohr magnetons per cell

Unit cell a=6.7244 b=6.7244 c=3.0697 alpha=90.00 beta=90.00 gamma=152.56
Last column: nearest neighbours and their distance in Å.
Fractional positions:
1 Ni 0.2049 0.7951 0.7500  1 B 2.19
2 Ni 0.7951 0.2049 0.2500  1 B 2.19
3 B 0.0369 0.9631 0.7500  2 B 1.81
4 B 0.9631 0.0369 0.2500  2 B 1.81
5 W 0.4063 0.5937 0.7500  6 B 2.33-2.34
6 W 0.5937 0.4063 0.2500  6 B 2.33-2.34